Entry 1:
A plane-wave DFT calculation with meta-GGA SCAN was carried out for KHgHW2 at its PBEsol-relaxed geometry.

Properties
Volume   98.6 Å³ per cell
E   -41.2937 eV/atom
Size of the total moment   2.54 Bohr magnetons per cell

a = 3.100 Å, b = 5.639 Å, c = 5.639 Å
α = 90.00°, β = 90.00°, γ = 90.00°
Last column: magnetic moment on the atom in μB.
Sites, in units of the cell vectors:
H: 0.500 0.000 0.000  0.00
W: 0.000 0.500 0.000  0.93
W: 0.000 0.000 0.500  0.93
Hg: 0.000 0.000 0.000  0.02
K: 0.500 0.500 0.500  0.04

=====

Entry 2:
A plane-wave DFT calculation with meta-GGA SCAN was carried out for MnTc2TeSe at its PBEsol-relaxed geometry.

Properties
Volume   112.5 Å³ per cell
E_form (uncorrected)   7.051 eV per formula unit
E   -27.7308 eV/atom
Size of the total moment   0.87 Bohr magnetons per cell

a = 4.792 Å, b = 4.845 Å, c = 4.845 Å
α = 90.00°, β = 90.00°, γ = 90.00°
Last column: magnetic moment on the atom in μB.
Sites, in units of the cell vectors:
Te: 0.000 0.000 0.000  -0.02
Tc: 0.000 0.000 0.500  -1.59
Tc: 0.000 0.500 0.000  -1.59
Mn: 0.500 0.000 0.000  4.06
Se: 0.500 0.500 0.500  0.06

=====

Entry 3:
A plane-wave DFT calculation with meta-GGA SCAN was carried out for CoTc2Ge2 at its PBEsol-relaxed geometry.

Properties
ΔE_f   0.485 eV/atom
Volume   78.3 Å³ per cell
E   -24.6348 eV/atom
Size of the total moment   1.33 Bohr magnetons per cell

a = 3.786 Å, b = 3.786 Å, c = 6.084 Å
α = 108.13°, β = 108.13°, γ = 90.00°
Last column: magnetic moment on the atom in μB.
Sites, in units of the cell vectors:
Tc: 0.750 0.250 0.500  -0.36
Ge: 0.605 0.605 0.210  0.01
Ge: 0.395 0.395 0.790  0.01
Tc: 0.250 0.750 0.500  -0.36
Co: 0.000 0.000 0.000  2.11

=====

Entry 4:
A plane-wave DFT calculation with meta-GGA SCAN was carried out for Sr2AsW at its PBEsol-relaxed geometry.

Properties
ΔE_f   0.258 eV/atom
Volume   103.9 Å³ per cell
E   -33.3489 eV/atom
Size of the total moment   1.00 Bohr magnetons per cell

a = 3.493 Å, b = 5.498 Å, c = 6.065 Å
α = 110.35°, β = 106.74°, γ = 90.00°
Last column: magnetic moment on the atom in μB.
Sites, in units of the cell vectors:
W: 0.440 0.475 0.880  0.60
Sr: 0.040 0.067 0.080  0.02
Sr: 0.229 0.713 0.458  0.03
As: 0.791 0.246 0.581  -0.01

=====

Entry 5:
A plane-wave DFT calculation with meta-GGA SCAN was carried out for ZnGa2CoSn at its PBEsol-relaxed geometry.

Properties
ΔE_f   0.935 eV/atom
Volume   129.3 Å³ per cell
E   -18.9515 eV/atom
Size of the total moment   1.68 Bohr magnetons per cell

a = 4.750 Å, b = 5.218 Å, c = 5.218 Å
α = 90.00°, β = 90.00°, γ = 90.00°
Last column: magnetic moment on the atom in μB.
Sites, in units of the cell vectors:
Sn: 0.000 0.000 0.000  -0.03
Zn: 0.500 0.500 0.500  0.00
Ga: 0.000 0.000 0.500  -0.02
Ga: 0.000 0.500 0.000  -0.02
Co: 0.500 0.000 0.000  1.78

=====

Entry 6:
A plane-wave DFT calculation with meta-GGA SCAN was carried out for TaMn at its PBEsol-relaxed geometry.

Properties
ΔE_f   0.089 eV/atom
Volume   56.5 Å³ per cell
E   -42.3301 eV/atom
Size of the total moment   0.00 Bohr magnetons per cell

a = 2.745 Å, b = 2.745 Å, c = 7.500 Å
α = 90.00°, β = 90.00°, γ = 90.00°
Sites, in units of the cell vectors:
Mn: 0.000 0.500 0.921
Ta: 0.000 0.500 0.342
Mn: 0.500 0.000 0.079
Ta: 0.500 0.000 0.658

=====

Entry 7:
A plane-wave DFT calculation with meta-GGA SCAN was carried out for SrLi3La at its PBEsol-relaxed geometry.

Properties
ΔE_f   0.642 eV/atom
Volume   182.0 Å³ per cell
E   -13.8675 eV/atom
Size of the total moment   2.69 Bohr magnetons per cell

a = 5.667 Å, b = 5.667 Å, c = 5.667 Å
α = 90.00°, β = 90.00°, γ = 90.00°
Last column: magnetic moment on the atom in μB.
Sites, in units of the cell vectors:
La: 0.000 0.000 0.000  0.89
Li: 0.000 0.500 0.000  0.06
Li: 0.000 0.000 0.500  0.06
Sr: 0.500 0.500 0.500  0.02
Li: 0.500 0.000 0.000  0.06

=====

Entry 8:
A plane-wave DFT calculation with meta-GGA SCAN was carried out for Zn2CoMo at its PBEsol-relaxed geometry.

Properties
ΔE_f   0.197 eV/atom
Volume   51.3 Å³ per cell
E   -19.6082 eV/atom
Size of the total moment   0.88 Bohr magnetons per cell

a = 3.915 Å, b = 3.915 Å, c = 4.344 Å
α = 116.79°, β = 116.79°, γ = 90.00°
Last column: magnetic moment on the atom in μB.
Sites, in units of the cell vectors:
Mo: 0.250 0.750 0.500  -0.05
Co: 0.500 0.500 0.000  0.95
Zn: 0.750 0.250 0.500  -0.01
Zn: 0.000 0.000 0.000  0.01

=====

Entry 9:
A plane-wave DFT calculation with meta-GGA SCAN was carried out for PrMoO4F at its PBEsol-relaxed geometry.

Properties
Volume   409.3 Å³ per cell
E_form (uncorrected)   -21.349 eV per formula unit
E   -18.2893 eV/atom
Size of the total moment   0.00 Bohr magnetons per cell

a = 6.553 Å, b = 6.916 Å, c = 9.399 Å
α = 73.93°, β = 90.00°, γ = 90.00°
Sites, in units of the cell vectors:
Pr: 0.372 0.225 0.577
F: 0.116 0.282 0.737
O: 0.339 0.423 0.129
O: 0.097 0.376 0.410
O: 0.858 0.916 0.917
O: 0.392 0.076 0.364
O: 0.608 0.924 0.636
F: 0.884 0.718 0.263
O: 0.642 0.416 0.417
Pr: 0.872 0.275 0.923
F: 0.384 0.782 0.237
O: 0.903 0.624 0.590
F: 0.616 0.218 0.763
Pr: 0.628 0.775 0.423
Mo: 0.136 0.665 0.667
Pr: 0.128 0.725 0.077
O: 0.142 0.084 0.083
O: 0.403 0.876 0.910
O: 0.358 0.584 0.583
O: 0.892 0.424 0.136
Mo: 0.864 0.335 0.333
O: 0.661 0.577 0.871
O: 0.108 0.576 0.864
O: 0.839 0.077 0.371
O: 0.161 0.923 0.629
Mo: 0.636 0.835 0.833
O: 0.597 0.124 0.090
Mo: 0.364 0.165 0.167

=====

Entry 10:
A plane-wave DFT calculation with meta-GGA SCAN was carried out for ZnFeAg3 at its PBEsol-relaxed geometry.

Properties
ΔE_f   0.949 eV/atom
Volume   99.3 Å³ per cell
E   -24.2001 eV/atom
Size of the total moment   3.22 Bohr magnetons per cell

a = 4.631 Å, b = 4.631 Å, c = 4.631 Å
α = 90.00°, β = 90.00°, γ = 90.00°
Last column: magnetic moment on the atom in μB.
Sites, in units of the cell vectors:
Zn: 0.000 0.000 0.000  -0.01
Ag: 0.000 0.500 0.000  -0.03
Ag: 0.500 0.000 0.000  -0.03
Ag: 0.000 0.000 0.500  -0.03
Fe: 0.500 0.500 0.500  3.38

=====

Entry 11:
A plane-wave DFT calculation with meta-GGA SCAN was carried out for LiCd2Ag at its PBEsol-relaxed geometry.

Properties
ΔE_f   -0.168 eV/atom
Volume   71.6 Å³ per cell
E   -23.8147 eV/atom
Size of the total moment   0.00 Bohr magnetons per cell

a = 2.977 Å, b = 3.884 Å, c = 6.188 Å
α = 90.00°, β = 90.00°, γ = 90.00°
Sites, in units of the cell vectors:
Cd: 0.000 0.000 0.984
Ag: 0.500 0.500 0.734
Cd: 0.500 0.500 0.268
Li: 0.000 0.000 0.514

=====

Entry 12:
A plane-wave DFT calculation with meta-GGA SCAN was carried out for TeIr2Br at its PBEsol-relaxed geometry.

Properties
Volume   73.7 Å³ per cell
E_form (uncorrected)   3.717 eV per formula unit
E   -48.7979 eV/atom
Size of the total moment   0.00 Bohr magnetons per cell

a = 3.220 Å, b = 3.396 Å, c = 6.741 Å
α = 90.00°, β = 90.00°, γ = 90.00°
Sites, in units of the cell vectors:
Te: 0.500 0.500 0.000
Ir: 0.000 0.000 0.791
Br: 0.500 0.500 0.500
Ir: 0.000 0.000 0.209

=====

Entry 13:
A plane-wave DFT calculation with meta-GGA SCAN was carried out for LaPPt2 at its PBEsol-relaxed geometry.

Properties
ΔE_f   -0.606 eV/atom
Volume   74.4 Å³ per cell
E   -49.0782 eV/atom
Size of the total moment   0.00 Bohr magnetons per cell

a = 4.057 Å, b = 4.057 Å, c = 5.352 Å
α = 112.27°, β = 112.27°, γ = 90.00°
Sites, in units of the cell vectors:
P: 0.000 0.000 0.000
Pt: 0.750 0.250 0.500
La: 0.500 0.500 0.000
Pt: 0.250 0.750 0.500

=====

Entry 14:
A plane-wave DFT calculation with meta-GGA SCAN was carried out for Cu2PPb at its PBEsol-relaxed geometry.

Properties
ΔE_f   0.471 eV/atom
Volume   65.8 Å³ per cell
E   -28.6734 eV/atom
Size of the total moment   0.00 Bohr magnetons per cell

a = 4.281 Å, b = 4.697 Å, c = 4.281 Å
α = 62.89°, β = 90.00°, γ = 117.11°
Sites, in units of the cell vectors:
Pb: 0.000 0.000 0.000
P: 0.500 0.000 0.500
Cu: 0.250 0.500 0.250
Cu: 0.750 0.500 0.750

=====

Entry 15:
A plane-wave DFT calculation with meta-GGA SCAN was carried out for Ta2MnWN at its PBEsol-relaxed geometry.

Properties
Volume   67.8 Å³ per cell
E_form (uncorrected)   -2.202 eV per formula unit
E   -46.5207 eV/atom
Size of the total moment   2.65 Bohr magnetons per cell

a = 3.644 Å, b = 4.314 Å, c = 4.314 Å
α = 90.00°, β = 90.00°, γ = 90.00°
Last column: magnetic moment on the atom in μB.
Sites, in units of the cell vectors:
Ta: 0.000 0.500 0.000  -0.07
Ta: 0.000 0.000 0.500  -0.07
W: 0.500 0.500 0.500  0.09
Mn: 0.500 0.000 0.000  2.64
N: 0.000 0.000 0.000  0.04

=====

Entry 16:
A plane-wave DFT calculation with meta-GGA SCAN was carried out for FeCo3O8 at its PBEsol-relaxed geometry.

Properties
Volume   220.4 Å³ per cell
E_form (uncorrected)   -14.287 eV per formula unit
E   -11.1816 eV/atom
Size of the total moment   1.93 Bohr magnetons per cell

a = 5.515 Å, b = 5.515 Å, c = 8.366 Å
α = 90.00°, β = 90.00°, γ = 120.00°
Last column: magnetic moment on the atom in μB.
Sites, in units of the cell vectors:
Fe: 0.667 0.333 0.509  2.22
O: 0.338 0.169 0.399  0.04
Co: 0.167 0.833 0.292  -0.33
O: 0.521 0.479 0.659  -0.02
Co: 0.335 0.167 0.792  -0.33
Co: 0.665 0.833 0.292  -0.33
O: 0.169 0.831 0.899  0.04
Co: 0.833 0.167 0.792  -0.33
Co: 0.833 0.665 0.792  -0.33
O: 0.000 0.000 0.179  -0.14
O: 0.831 0.169 0.399  0.04
O: 0.521 0.042 0.659  -0.02
O: 0.169 0.338 0.899  0.04
O: 0.662 0.831 0.899  0.04
O: 0.831 0.662 0.399  0.04
O: 0.479 0.958 0.159  -0.02
Fe: 0.333 0.667 0.009  2.22
O: 0.958 0.479 0.659  -0.02
O: 0.333 0.667 0.403  -0.17
Co: 0.167 0.335 0.292  -0.33
O: 0.000 0.000 0.679  -0.14
O: 0.042 0.521 0.159  -0.02
O: 0.667 0.333 0.903  -0.17
O: 0.479 0.521 0.159  -0.02

=====

Entry 17:
A plane-wave DFT calculation with meta-GGA SCAN was carried out for Ni2AsPb at its PBEsol-relaxed geometry.

Properties
ΔE_f   -0.042 eV/atom
Volume   66.4 Å³ per cell
E   -32.1214 eV/atom
Size of the total moment   0.00 Bohr magnetons per cell

a = 3.214 Å, b = 3.506 Å, c = 6.108 Å
α = 90.00°, β = 105.25°, γ = 90.00°
Sites, in units of the cell vectors:
Pb: 0.461 0.000 0.923
Ni: 0.079 0.500 0.158
Ni: 0.236 0.000 0.472
As: 0.723 0.500 0.446

=====

Entry 18:
A plane-wave DFT calculation with meta-GGA SCAN was carried out for TcSbOs at its PBEsol-relaxed geometry.

Properties
Volume   55.0 Å³ per cell
E_form (uncorrected)   1.097 eV per formula unit
E   -47.7012 eV/atom
Size of the total moment   0.00 Bohr magnetons per cell

a = 4.268 Å, b = 4.268 Å, c = 4.268 Å
α = 60.00°, β = 60.00°, γ = 60.00°
Sites, in units of the cell vectors:
Os: 0.000 0.000 0.000
Tc: 0.250 0.250 0.250
Sb: 0.500 0.500 0.500

=====

Entry 19:
A plane-wave DFT calculation with meta-GGA SCAN was carried out for BaCdRh at its PBEsol-relaxed geometry.

Properties
ΔE_f   -0.070 eV/atom
Volume   73.5 Å³ per cell
E   -34.6492 eV/atom
Size of the total moment   0.00 Bohr magnetons per cell

a = 3.400 Å, b = 3.891 Å, c = 6.129 Å
α = 108.51°, β = 106.10°, γ = 90.00°
Sites, in units of the cell vectors:
Cd: 0.711 0.711 0.423
Rh: 0.294 0.294 0.588
Ba: 0.995 0.995 0.989

=====

Entry 20:
A plane-wave DFT calculation with meta-GGA SCAN was carried out for Li4Ti3Cr3Ni2O16 at its PBEsol-relaxed geometry.

Properties
Volume   269.2 Å³ per cell
E_form (uncorrected)   -68.958 eV per formula unit
E   -11.2074 eV/atom
Size of the total moment   10.00 Bohr magnetons per cell

a = 5.741 Å, b = 5.741 Å, c = 9.403 Å
α = 91.53°, β = 91.53°, γ = 60.36°
Last column: magnetic moment on the atom in μB.
Sites, in units of the cell vectors:
Ti: 0.833 0.833 0.289  0.06
O: 0.333 0.838 0.896  0.00
Li: 0.327 0.327 0.106  0.00
O: 0.475 0.475 0.660  -0.03
Ti: 0.661 0.164 0.786  0.05
O: 0.998 0.998 0.686  0.02
O: 0.168 0.168 0.388  -0.11
O: 0.676 0.168 0.397  0.03
O: 0.033 0.471 0.663  0.01
Ni: 0.332 0.332 0.513  1.31
O: 0.168 0.676 0.397  0.03
O: 0.839 0.839 0.898  0.04
Cr: 0.828 0.342 0.287  2.32
Cr: 0.170 0.170 0.788  2.44
Li: 0.014 0.014 0.005  0.00
Ni: 0.666 0.666 0.016  1.23
O: 0.838 0.333 0.896  0.00
Li: 0.660 0.660 0.604  0.00
Cr: 0.342 0.828 0.287  2.32
O: 0.337 0.337 0.900  0.02
O: 0.953 0.514 0.160  -0.04
O: 0.514 0.953 0.160  -0.04
O: 0.669 0.669 0.399  0.04
Li: 0.014 0.014 0.502  0.00
O: 0.001 0.001 0.189  0.04
O: 0.515 0.515 0.169  -0.03
O: 0.471 0.033 0.663  0.01
Ti: 0.164 0.661 0.786  0.05